(1)
Compound: SmDyPu
Source: OQMD
Functional: PBE
Structure: relaxed

Calculated values
**Energy above the lowest structure with this stoichiometry**: 0 meV per atom
**Space group**: F-43m
**Energy of formation from the pure elements**: 0.7928 eV per atom
**Uncorrected energy**: -21.061 eV per cell

Unit cell a=5.299 b=5.299 c=5.299 alpha=60.00 beta=60.00 gamma=60.00
Site moments in Bohr magnetons follow the coordinates.
Sites, in units of the cell vectors:
Dy: 0.500 0.500 0.500  0.30
Pu: 0.250 0.250 0.250  5.67
Sm: 0.000 0.000 0.000  0.17


(2)
Compound: MgAg
Source: OQMD
Functional: PBE
Structure: relaxed

Calculated values
**Space group**: P2_1/m
**Uncorrected energy**: -27.659 eV per cell

Unit cell a=7.659 b=6.098 c=4.845 alpha=90.00 beta=90.00 gamma=101.35
Sites, in units of the cell vectors:
Ag: 0.886 0.724 0.500
Ag: 0.336 0.332 0.000
Ag: 0.884 0.220 0.500
Ag: 0.997 0.498 0.000
Ag: 0.338 0.836 0.000
Ag: 0.225 0.557 0.500
Mg: 0.560 0.885 0.500
Mg: 0.555 0.394 0.500
Mg: 0.662 0.170 0.000
Mg: 0.002 0.002 0.000
Mg: 0.668 0.661 0.000
Mg: 0.220 0.054 0.500


(3)
Compound: Ac3Fe
Source: OQMD
Functional: PBE
Structure: relaxed

Calculated values
**Energy above the lowest structure with this stoichiometry**: 68 meV per atom
**Space group**: I4/mmm
**Energy of formation from the pure elements**: 0.5378 eV per atom
**Uncorrected energy**: -18.475 eV per cell

Unit cell a=6.430 b=6.430 c=6.430 alpha=135.07 beta=135.07 gamma=65.42
Site moments in Bohr magnetons follow the coordinates.
Sites, in units of the cell vectors:
Ac: 0.500 0.500 0.000  -0.06
Ac: 0.750 0.250 0.500  -0.02
Ac: 0.250 0.750 0.500  -0.02
Fe: 0.000 0.000 0.000  3.00


(4)
Compound: Tb2DyCu4Si2Ge2
Source: OQMD
Functional: PBE
Structure: relaxed

Calculated values
**Energy above the lowest structure with this stoichiometry**: 0 meV per atom
**Space group**: Immm
**Uncorrected energy**: -55.865 eV per cell

Unit cell a=7.971 b=7.971 c=7.971 alpha=149.74 beta=130.98 gamma=58.70
Sites, in units of the cell vectors:
Tb: 0.370 0.870 0.500
Tb: 0.630 0.130 0.500
Cu: 0.363 0.673 0.690
Cu: 0.017 0.327 0.690
Cu: 0.637 0.327 0.310
Cu: 0.983 0.673 0.310
Ge: 0.307 0.500 0.807
Ge: 0.693 0.500 0.193
Si: 0.784 0.784 0.000
Si: 0.216 0.216 0.000
Dy: 0.000 0.000 0.000


(5)
Compound: TbNdNp
Source: OQMD
Functional: PBE
Structure: relaxed

Calculated values
**Space group**: F-43m
**Energy of formation from the pure elements**: 1.1466 eV per atom
**Uncorrected energy**: -18.722 eV per cell

Unit cell a=5.210 b=5.210 c=5.210 alpha=60.00 beta=60.00 gamma=60.00
Site moments in Bohr magnetons follow the coordinates.
Sites, in units of the cell vectors:
Nd: 0.000 0.000 0.000  0.36
Np: 0.750 0.750 0.750  4.23
Tb: 0.250 0.250 0.250  0.36


(6)
Compound: Sm2Sc2CI2Br2Cl
Source: OQMD
Functional: PBE
Structure: relaxed

Calculated values
**Energy above the lowest structure with this stoichiometry**: 96 meV per atom
**Space group**: C2/m
**Uncorrected energy**: -51.992 eV per cell

Unit cell a=9.214 b=9.214 c=8.035 alpha=102.20 beta=102.20 gamma=23.78
Sites, in units of the cell vectors:
I: 0.159 0.159 0.370
I: 0.841 0.841 0.630
Sm: 0.363 0.363 0.932
Sm: 0.637 0.637 0.068
C: 0.500 0.500 0.000
Br: 0.161 0.161 0.812
Br: 0.839 0.839 0.188
Sc: 0.002 0.002 0.811
Sc: 0.998 0.998 0.189
Cl: 0.500 0.500 0.500


(7)
Compound: ZrAlFeTc
Source: OQMD
Functional: PBE
Structure: relaxed

Calculated values
**Energy above the lowest structure with this stoichiometry**: 0 meV per atom
**Space group**: F-43m
**Uncorrected energy**: -32.045 eV per cell

Unit cell a=4.421 b=4.421 c=4.421 alpha=60.00 beta=60.00 gamma=60.00
Sites, in units of the cell vectors:
Al: 0.000 0.000 0.000
Tc: 0.250 0.250 0.250
Fe: 0.750 0.750 0.750
Zr: 0.500 0.500 0.500


(8)
Compound: YFeReSn
Source: OQMD
Functional: PBE
Structure: relaxed

Calculated values
**Energy above the lowest structure with this stoichiometry**: 143 meV per atom
**Space group**: F-43m
**Uncorrected energy**: -29.386 eV per cell

Unit cell a=4.750 b=4.750 c=4.750 alpha=60.00 beta=60.00 gamma=60.00
Sites, in units of the cell vectors:
Re: 0.500 0.500 0.500
Y: 0.250 0.250 0.250
Fe: 0.750 0.750 0.750
Sn: 0.000 0.000 0.000


The lowest uncorrected energy belongs to which entry?
Tb2DyCu4Si2Ge2


Copy entry 7 word for word.
Compound: ZrAlFeTc
Source: OQMD
Functional: PBE
Structure: relaxed

Calculated values
**Energy above the lowest structure with this stoichiometry**: 0 meV per atom
**Space group**: F-43m
**Uncorrected energy**: -32.045 eV per cell

Unit cell a=4.421 b=4.421 c=4.421 alpha=60.00 beta=60.00 gamma=60.00
Sites, in units of the cell vectors:
Al: 0.000 0.000 0.000
Tc: 0.250 0.250 0.250
Fe: 0.750 0.750 0.750
Zr: 0.500 0.500 0.500


The highest uncorrected energy belongs to which entry?
Ac3Fe